(1)
Density functional theory data (GGA-PBE) for crystalline EuBiH at its relaxed geometry.

Computed properties:
Density of states at the Fermi level in states/eV/atom: 3.309
E in eV per atom: -6.33
Distance to the lowest polymorph of the same formula in meV/atom: 0.0

```
data_EuBiH
_space_group_name_H-M_alt 'P -6 m 2'
_space_group_IT_number 187
_space_group_name_Hall 'P -6 2'
_cell_length_a 3.8022
_cell_length_b 3.8022
_cell_length_c 5.5048
_cell_angle_alpha 90.00
_cell_angle_beta 90.00
_cell_angle_gamma 120.00
loop_
_atom_site_label
_atom_site_fract_x
_atom_site_fract_y
_atom_site_fract_z
Eu1 0.0000 0.0000 0.0000
Bi1 0.3333 0.6667 0.5000
H1 0.6667 0.3333 0.0000
```

***

(2)
Density functional theory data (GGA-PBE) for crystalline KEuHfBiO6 at its relaxed geometry.

Computed properties:
Density of states at the Fermi level in states/eV/atom: 1.551
E in eV per atom: -7.71
Uncorrected formation energy in eV/atom: -2.22

```
data_KEuHfBiO6
_space_group_name_H-M_alt 'F -4 3 m'
_space_group_IT_number 216
_space_group_name_Hall 'F -4 2 3'
_cell_length_a 8.388
_cell_length_b 8.388
_cell_length_c 8.388
_cell_angle_alpha 90.00
_cell_angle_beta 90.00
_cell_angle_gamma 90.00
loop_
_atom_site_label
_atom_site_fract_x
_atom_site_fract_y
_atom_site_fract_z
K1 0.000 0.000 0.000
Eu1 0.000 0.000 0.500
Hf1 0.250 0.250 0.750
Bi1 0.250 0.250 0.250
O1 0.004 0.250 0.750
```

***

(3)
Density functional theory data (GGA-PBE) for crystalline EuHgBi4 at its relaxed geometry.

Computed properties:
Density of states at the Fermi level in states/eV/atom: 1.053
E in eV per atom: -4.51
Calculated formation energy in kJ/mol of formula units: -91

```
data_EuHgBi4
_space_group_name_H-M_alt 'F -4 3 m'
_space_group_IT_number 216
_space_group_name_Hall 'F -4 2 3'
_cell_length_a 9.363
_cell_length_b 9.363
_cell_length_c 9.363
_cell_angle_alpha 90.00
_cell_angle_beta 90.00
_cell_angle_gamma 90.00
loop_
_atom_site_label
_atom_site_fract_x
_atom_site_fract_y
_atom_site_fract_z
Eu1 0.000 0.000 0.000
Hg1 0.250 0.250 0.750
Bi1 0.124 0.124 0.376
```

***

(4)
Density functional theory data (GGA-PBE) for crystalline EuLuHgBi at its relaxed geometry.

Computed properties:
Density of states at the Fermi level in states/eV/atom: 1.117
E in eV per atom: -5.24
Calculated formation energy in kJ/mol of formula units: -191

```
data_EuLuHgBi
_space_group_name_H-M_alt 'F -4 3 m'
_space_group_IT_number 216
_space_group_name_Hall 'F -4 2 3'
_cell_length_a 7.713
_cell_length_b 7.713
_cell_length_c 7.713
_cell_angle_alpha 90.00
_cell_angle_beta 90.00
_cell_angle_gamma 90.00
loop_
_atom_site_label
_atom_site_fract_x
_atom_site_fract_y
_atom_site_fract_z
Eu1 0.000 0.000 0.000
Lu1 0.000 0.000 0.500
Hg1 0.250 0.250 0.750
Bi1 0.250 0.250 0.250
```

***

(5)
Density functional theory data (GGA-PBE) for crystalline EuHgBiPb at its relaxed geometry.

Computed properties:
Density of states at the Fermi level in states/eV/atom: 0.592
E in eV per atom: -4.93
Calculated formation energy in kJ/mol of formula units: -149

```
data_EuHgBiPb
_space_group_name_H-M_alt 'F -4 3 m'
_space_group_IT_number 216
_space_group_name_Hall 'F -4 2 3'
_cell_length_a 7.901
_cell_length_b 7.901
_cell_length_c 7.901
_cell_angle_alpha 90.00
_cell_angle_beta 90.00
_cell_angle_gamma 90.00
loop_
_atom_site_label
_atom_site_fract_x
_atom_site_fract_y
_atom_site_fract_z
Eu1 0.000 0.000 0.000
Hg1 0.250 0.250 0.250
Bi1 0.250 0.250 0.750
Pb1 0.000 0.000 0.500
```

***

(6)
Density functional theory data (GGA-PBE) for crystalline PrEuHgBi at its relaxed geometry.

Computed properties:
Density of states at the Fermi level in states/eV/atom: 0.901
E in eV per atom: -5.42
Calculated formation energy in kJ/mol of formula units: -237

```
data_PrEuHgBi
_space_group_name_H-M_alt 'F -4 3 m'
_space_group_IT_number 216
_space_group_name_Hall 'F -4 2 3'
_cell_length_a 7.894
_cell_length_b 7.894
_cell_length_c 7.894
_cell_angle_alpha 90.00
_cell_angle_beta 90.00
_cell_angle_gamma 90.00
loop_
_atom_site_label
_atom_site_fract_x
_atom_site_fract_y
_atom_site_fract_z
Pr1 0.000 0.000 0.000
Eu1 0.000 0.000 0.500
Hg1 0.250 0.250 0.750
Bi1 0.250 0.250 0.250
```

***

(7)
Density functional theory data (GGA-PBE) for crystalline EuHgBiPt at its relaxed geometry.

Computed properties:
Density of states at the Fermi level in states/eV/atom: 2.953
E in eV per atom: -5.58
Calculated formation energy in kJ/mol of formula units: -175

```
data_EuHgBiPt
_space_group_name_H-M_alt 'F -4 3 m'
_space_group_IT_number 216
_space_group_name_Hall 'F -4 2 3'
_cell_length_a 7.322
_cell_length_b 7.322
_cell_length_c 7.322
_cell_angle_alpha 90.00
_cell_angle_beta 90.00
_cell_angle_gamma 90.00
loop_
_atom_site_label
_atom_site_fract_x
_atom_site_fract_y
_atom_site_fract_z
Eu1 0.000 0.000 0.000
Hg1 0.250 0.250 0.750
Bi1 0.000 0.000 0.500
Pt1 0.250 0.250 0.250
```

***

(8)
Density functional theory data (GGA-PBE) for crystalline EuPuHgBi at its relaxed geometry.

Computed properties:
Density of states at the Fermi level in states/eV/atom: 3.754
E in eV per atom: -7.60
Calculated formation energy in kJ/mol of formula units: -154

```
data_EuPuHgBi
_space_group_name_H-M_alt 'F -4 3 m'
_space_group_IT_number 216
_space_group_name_Hall 'F -4 2 3'
_cell_length_a 7.844
_cell_length_b 7.844
_cell_length_c 7.844
_cell_angle_alpha 90.00
_cell_angle_beta 90.00
_cell_angle_gamma 90.00
loop_
_atom_site_label
_atom_site_fract_x
_atom_site_fract_y
_atom_site_fract_z
Eu1 0.000 0.000 0.000
Pu1 0.000 0.000 0.500
Hg1 0.250 0.250 0.750
Bi1 0.250 0.250 0.250
```